# 1
{"formula": "NiMo2Br", "functional": "PBE", "state": "optimized geometry", "polymorph_energy_mev_per_atom": 566.5, "e_form_raw_ev_per_atom": 0.921, "lattice": [[4.594, 0.000, 0.000], [0.000, 3.711, 0.000], [0.000, 0.000, 3.711]], "species": ["Br", "Ni", "Mo", "Mo"], "frac_coords": [[0.500, 0.000, 0.500], [0.500, 0.500, 0.000], [0.000, 0.000, 0.000], [0.000, 0.500, 0.500]]}

# 2
{"formula": "Er5Ga2Bi", "functional": "PBE", "state": "optimized geometry", "ef_mev_per_atom": -571, "lattice": [[8.109, 0.000, 0.000], [0.000, 8.109, 0.000], [-4.055, -4.055, 6.403]], "species": ["Er", "Er", "Er", "Er", "Er", "Er", "Er", "Er", "Er", "Er", "Ga", "Ga", "Ga", "Ga", "Bi", "Bi"], "frac_coords": [[0.000, 0.000, 0.000], [0.500, 0.500, 0.000], [0.707, 0.207, 0.718], [0.990, 0.490, 0.282], [0.510, 0.707, 0.718], [0.793, 0.990, 0.282], [0.010, 0.510, 0.718], [0.207, 0.010, 0.718], [0.293, 0.793, 0.282], [0.490, 0.293, 0.282], [0.850, 0.650, 0.000], [0.150, 0.350, 0.000], [0.350, 0.850, 0.000], [0.650, 0.150, 0.000], [0.750, 0.750, 0.500], [0.250, 0.250, 0.500]]}

# 3
{"formula": "HfBi3Se", "functional": "PBE", "state": "optimized geometry", "polymorph_energy_mev_per_atom": 337.7, "e_form_raw_ev_per_atom": 0.774, "lattice": [[5.465, 0.000, 0.000], [0.000, 5.465, 0.000], [0.000, 0.000, 5.465]], "species": ["Bi", "Bi", "Bi", "Hf", "Se"], "frac_coords": [[0.500, 0.000, 0.000], [0.000, 0.000, 0.500], [0.000, 0.500, 0.000], [0.500, 0.500, 0.500], [0.000, 0.000, 0.000]]}